Entry from Alexandria: a geometry-optimized TlBSeBr2 structure (PBE).

Cell: 5.5525 5.5525 4.0857 Å, 90.00 90.00 90.00°
Space group P4/mmm (No. 123)
Symmetry-distinct sites (fractional):
Tl 0.0000 0.0000 0.0000 x1
B 0.5000 0.5000 0.5000 x1
Se 0.5000 0.5000 0.0000 x1
Br 0.0000 0.5000 0.5000 x2

## Properties
V in Å³ per cell: 126.0
Crystal system: tetragonal
E above lowest polymorph in meV/atom: 0.0
VASP energy in eV per atom: -2.945
Magnetization in μB per formula unit: 0.00